(1)
An optimized crystal structure of Hg3SbPd12. Source: the Alexandria database, functional PBE.

a = 4.071 Å, b = 4.071 Å, c = 16.063 Å
α = 90.00°, β = 90.00°, γ = 90.00°
Atoms (fractional coordinates):
Hg 0.000 0.000 0.250
Hg 0.000 0.000 0.500
Hg 0.000 0.000 0.750
Sb 0.000 0.000 0.000
Pd 0.500 0.500 0.000
Pd 0.500 0.500 0.248
Pd 0.500 0.500 0.500
Pd 0.500 0.500 0.752
Pd 0.500 0.000 0.122
Pd 0.500 0.000 0.375
Pd 0.500 0.000 0.625
Pd 0.500 0.000 0.878
Pd 0.000 0.500 0.122
Pd 0.000 0.500 0.375
Pd 0.000 0.500 0.625
Pd 0.000 0.500 0.878

formation energy (no corrections) = -289 kJ/mol of formula units
space group = P4/mmm, No. 123

(2)
An optimized crystal structure of HgSbPd. Source: the Alexandria database, functional PBE.

a = 3.453 Å, b = 3.453 Å, c = 6.526 Å
α = 90.00°, β = 90.00°, γ = 120.00°
Atoms (fractional coordinates):
Sb 0.333 0.667 0.624
Hg 0.000 0.000 0.027
Pd 0.667 0.333 0.349

formation energy (no corrections) = -44 kJ/mol of formula units
space group = P3m1, No. 156

(3)
An optimized crystal structure of HgSb2Pd. Source: the Alexandria database, functional PBE.

a = 4.229 Å, b = 4.229 Å, c = 7.256 Å
α = 73.06°, β = 73.06°, γ = 60.00°
Atoms (fractional coordinates):
Sb 0.276 0.276 0.172
Sb 0.724 0.724 0.828
Hg 0.500 0.500 0.500
Pd 0.000 0.000 0.000

formation energy (no corrections) = -68 kJ/mol of formula units
space group = R-3m, No. 166

(4)
An optimized crystal structure of HgSbPd2. Source: the Alexandria database, functional PBE.

a = 4.727 Å, b = 4.727 Å, c = 4.727 Å
α = 60.00°, β = 60.00°, γ = 60.00°
Atoms (fractional coordinates):
Sb 0.000 0.000 0.000
Hg 0.500 0.500 0.500
Pd 0.250 0.250 0.250
Pd 0.750 0.750 0.750

formation energy (no corrections) = -81 kJ/mol of formula units
space group = Fm-3m, No. 225

(5)
An optimized crystal structure of Hg2Sb2Pd7. Source: the Alexandria database, functional PBE.

a = 4.699 Å, b = 7.117 Å, c = 7.117 Å
α = 92.25°, β = 109.27°, γ = 109.27°
Atoms (fractional coordinates):
Hg 0.182 0.182 0.182
Hg 0.818 0.818 0.818
Sb 0.000 0.287 0.713
Sb 0.000 0.713 0.287
Pd 0.661 0.918 0.405
Pd 0.339 0.595 0.082
Pd 0.339 0.082 0.595
Pd 0.661 0.405 0.918
Pd 0.500 0.000 0.000
Pd 0.166 0.666 0.666
Pd 0.834 0.334 0.334

formation energy (no corrections) = -224 kJ/mol of formula units
space group = C2/m, No. 12

(6)
An optimized crystal structure of HgSb2Pd. Source: the Alexandria database, functional PBE.

a = 3.173 Å, b = 3.173 Å, c = 10.078 Å
α = 90.00°, β = 90.00°, γ = 90.00°
Atoms (fractional coordinates):
Sb 0.000 0.000 0.817
Sb 0.000 0.000 0.183
Hg 0.500 0.500 0.500
Pd 0.500 0.500 0.000

formation energy (no corrections) = -54 kJ/mol of formula units
space group = P4/mmm, No. 123

(7)
An optimized crystal structure of HgSb2Pd7. Source: the Alexandria database, functional PBE.

a = 4.094 Å, b = 4.094 Å, c = 11.399 Å
α = 100.34°, β = 100.34°, γ = 90.00°
Atoms (fractional coordinates):
Hg 0.000 0.000 0.000
Sb 0.669 0.669 0.338
Sb 0.331 0.331 0.662
Pd 0.093 0.593 0.186
Pd 0.407 0.907 0.814
Pd 0.593 0.093 0.186
Pd 0.500 0.500 0.000
Pd 0.750 0.250 0.500
Pd 0.907 0.407 0.814
Pd 0.250 0.750 0.500

formation energy (no corrections) = -304 kJ/mol of formula units
space group = I4/mmm, No. 139

(8)
An optimized crystal structure of HgSbPd2. Source: the Alexandria database, functional PBE.

a = 3.317 Å, b = 3.317 Å, c = 8.481 Å
α = 78.72°, β = 78.72°, γ = 60.00°
Atoms (fractional coordinates):
Hg 0.500 0.500 0.501
Sb 0.667 0.667 0.999
Pd 0.079 0.079 0.762
Pd 0.254 0.254 0.238

formation energy (no corrections) = -74 kJ/mol of formula units
space group = R3m, No. 160

(9)
An optimized crystal structure of HgSbPd3. Source: the Alexandria database, functional PBE.

a = 4.875 Å, b = 5.663 Å, c = 7.210 Å
α = 83.78°, β = 108.42°, γ = 98.51°
Atoms (fractional coordinates):
Hg 0.156 0.810 0.913
Hg 0.097 0.193 0.549
Sb 0.473 0.785 0.380
Sb 0.779 0.218 0.082
Pd 0.721 0.710 0.109
Pd 0.035 0.679 0.525
Pd 0.532 0.293 0.354
Pd 0.626 0.502 0.731
Pd 0.218 0.324 0.937
Pd 0.626 0.002 0.731

formation energy (no corrections) = -121 kJ/mol of formula units
space group = P-1, No. 2

(10)
An optimized crystal structure of HgSbPd3. Source: the Alexandria database, functional PBE.

a = 4.164 Å, b = 7.766 Å, c = 6.365 Å
α = 100.08°, β = 90.00°, γ = 105.55°
Atoms (fractional coordinates):
Hg 0.044 0.088 0.804
Hg 0.956 0.912 0.196
Sb 0.383 0.767 0.534
Sb 0.617 0.233 0.466
Pd 0.855 0.710 0.789
Pd 0.145 0.290 0.211
Pd 0.682 0.363 0.920
Pd 0.318 0.637 0.080
Pd 0.779 0.558 0.344
Pd 0.221 0.442 0.656

formation energy (no corrections) = -103 kJ/mol of formula units
space group = C2/m, No. 12

(11)
An optimized crystal structure of Hg2SbPd8. Source: the Alexandria database, functional PBE.

a = 5.242 Å, b = 7.757 Å, c = 7.484 Å
α = 58.79°, β = 70.13°, γ = 49.01°
Atoms (fractional coordinates):
Hg 0.000 0.303 0.394
Hg 0.000 0.697 0.606
Sb 0.500 0.000 0.000
Pd 0.895 0.106 0.218
Pd 0.895 0.323 0.782
Pd 0.331 0.398 0.000
Pd 0.500 0.785 0.431
Pd 0.500 0.215 0.569
Pd 0.669 0.602 0.000
Pd 0.105 0.677 0.218
Pd 0.105 0.894 0.782

formation energy (no corrections) = -109 kJ/mol of formula units
space group = C2/m, No. 12

(12)
An optimized crystal structure of HgSb2Pd. Source: the Alexandria database, functional PBE.

a = 4.264 Å, b = 4.264 Å, c = 7.196 Å
α = 72.76°, β = 72.76°, γ = 60.00°
Atoms (fractional coordinates):
Hg 0.498 0.498 0.506
Sb 0.058 0.058 0.825
Sb 0.277 0.277 0.168
Pd 0.666 0.666 0.002

formation energy (no corrections) = -61 kJ/mol of formula units
space group = R3m, No. 160

(13)
An optimized crystal structure of HgSb2Pd. Source: the Alexandria database, functional PBE.

a = 6.282 Å, b = 6.282 Å, c = 7.706 Å
α = 65.95°, β = 65.95°, γ = 90.00°
Atoms (fractional coordinates):
Sb 0.581 0.125 0.250
Sb 0.169 0.625 0.250
Sb 0.375 0.419 0.750
Sb 0.875 0.831 0.750
Hg 0.000 0.000 0.000
Hg 0.750 0.250 0.500
Pd 0.500 0.500 0.000
Pd 0.250 0.750 0.500

formation energy (no corrections) = 30 kJ/mol of formula units
space group = I-42d, No. 122

(14)
An optimized crystal structure of HgSbPd2. Source: the Alexandria database, functional PBE.

a = 5.754 Å, b = 7.100 Å, c = 8.239 Å
α = 90.00°, β = 90.00°, γ = 90.00°
Atoms (fractional coordinates):
Hg 0.250 0.404 0.110
Hg 0.250 0.904 0.890
Hg 0.750 0.096 0.110
Hg 0.750 0.596 0.890
Sb 0.750 0.074 0.622
Sb 0.250 0.426 0.622
Sb 0.250 0.926 0.378
Sb 0.750 0.574 0.378
Pd 0.500 0.750 0.153
Pd 0.000 0.750 0.153
Pd 0.000 0.250 0.385
Pd 0.000 0.250 0.847
Pd 0.000 0.750 0.615
Pd 0.500 0.750 0.615
Pd 0.500 0.250 0.847
Pd 0.500 0.250 0.385

formation energy (no corrections) = -114 kJ/mol of formula units
space group = Pbcm, No. 57

(15)
An optimized crystal structure of HgSbPd2. Source: the Alexandria database, functional PBE.

a = 7.467 Å, b = 7.467 Å, c = 6.046 Å
α = 51.87°, β = 51.87°, γ = 90.00°
Atoms (fractional coordinates):
Sb 0.500 0.500 0.000
Sb 0.250 0.750 0.500
Hg 0.000 0.000 0.000
Hg 0.750 0.250 0.500
Pd 0.609 0.125 0.250
Pd 0.141 0.625 0.250
Pd 0.375 0.391 0.750
Pd 0.875 0.859 0.750

formation energy (no corrections) = -20 kJ/mol of formula units
space group = I-42d, No. 122

(16)
An optimized crystal structure of Hg2Sb2Pd. Source: the Alexandria database, functional PBE.

a = 7.368 Å, b = 7.368 Å, c = 4.489 Å
α = 90.00°, β = 90.00°, γ = 90.00°
Atoms (fractional coordinates):
Sb 0.153 0.653 0.500
Sb 0.653 0.847 0.500
Sb 0.847 0.347 0.500
Sb 0.347 0.153 0.500
Hg 0.346 0.846 0.000
Hg 0.846 0.654 0.000
Hg 0.654 0.154 0.000
Hg 0.154 0.346 0.000
Pd 0.000 0.000 0.000
Pd 0.500 0.500 0.000

formation energy (no corrections) = 107 kJ/mol of formula units
space group = P4/mbm, No. 127

(17)
An optimized crystal structure of HgSbPd5. Source: the Alexandria database, functional PBE.

a = 4.134 Å, b = 4.134 Å, c = 7.336 Å
α = 90.00°, β = 90.00°, γ = 90.00°
Atoms (fractional coordinates):
Hg 0.000 0.000 0.500
Sb 0.500 0.500 0.000
Pd 0.000 0.500 0.775
Pd 0.000 0.500 0.225
Pd 0.500 0.000 0.775
Pd 0.500 0.000 0.225
Pd 0.500 0.500 0.500

formation energy (no corrections) = -197 kJ/mol of formula units
space group = P4/mmm, No. 123

(18)
An optimized crystal structure of HgSb2Pd8. Source: the Alexandria database, functional PBE.

a = 4.133 Å, b = 6.563 Å, c = 7.722 Å
α = 109.87°, β = 105.52°, γ = 90.00°
Atoms (fractional coordinates):
Hg 0.500 0.000 0.000
Sb 0.798 0.331 0.596
Sb 0.202 0.669 0.404
Pd 0.410 0.538 0.819
Pd 0.676 0.926 0.352
Pd 0.842 0.771 0.685
Pd 0.964 0.264 0.928
Pd 0.158 0.229 0.315
Pd 0.324 0.074 0.648
Pd 0.590 0.462 0.181
Pd 0.036 0.736 0.072

formation energy (no corrections) = -338 kJ/mol of formula units
space group = C2/m, No. 12

(19)
An optimized crystal structure of HgSbPd3. Source: the Alexandria database, functional PBE.

a = 4.949 Å, b = 4.949 Å, c = 4.949 Å
α = 90.00°, β = 90.00°, γ = 90.00°
Atoms (fractional coordinates):
Sb 0.000 0.000 0.000
Hg 0.500 0.500 0.500
Pd 0.000 0.500 0.000
Pd 0.000 0.000 0.500
Pd 0.500 0.000 0.000

formation energy (no corrections) = 167 kJ/mol of formula units
space group = Pm-3m, No. 221

(20)
An optimized crystal structure of HgSb2Pd7. Source: the Alexandria database, functional PBE.

a = 4.337 Å, b = 7.641 Å, c = 7.641 Å
α = 121.89°, β = 90.00°, γ = 90.00°
Atoms (fractional coordinates):
Hg 0.000 0.000 0.000
Sb 0.500 0.695 0.305
Sb 0.500 0.305 0.695
Pd 0.000 0.796 0.204
Pd 0.000 0.204 0.796
Pd 0.500 0.075 0.293
Pd 0.500 0.925 0.707
Pd 0.500 0.293 0.075
Pd 0.500 0.707 0.925
Pd 0.500 0.500 0.500

formation energy (no corrections) = -31 kJ/mol of formula units
space group = Cmmm, No. 65